(1)
An optimized crystal structure of Hf2Nb4Fe3C3, computed with GGA-PBE.

Calculated values
VASP energy   -9.75 eV per atom
Total moment   8.862 Bohr magnetons per cell
Volume   14.050 Å³/atom
Density   9.18 g/cm3

abc: 5.399 5.399 13.747
angles: 101.65 101.65 59.91
Positions (direct):
Hf 0.039 0.874 0.614
Hf 0.126 0.961 0.886
Hf 0.874 0.039 0.114
Hf 0.961 0.126 0.386
Nb 0.196 0.361 0.090
Nb 0.299 0.474 0.410
Nb 0.361 0.196 0.590
Nb 0.474 0.299 0.910
Nb 0.526 0.701 0.090
Nb 0.639 0.804 0.410
Nb 0.701 0.526 0.590
Nb 0.804 0.639 0.910
Fe 0.085 0.402 0.750
Fe 0.402 0.085 0.250
Fe 0.425 0.575 0.250
Fe 0.575 0.425 0.750
Fe 0.598 0.915 0.750
Fe 0.915 0.598 0.250
C 0.000 0.500 0.500
C 0.162 0.676 0.000
C 0.324 0.838 0.500
C 0.500 0.000 0.000
C 0.676 0.162 0.500
C 0.838 0.324 0.000

=====

(2)
An optimized crystal structure of Hf4FeNiC2, computed with GGA-PBE.

Calculated values
VASP energy   -9.46 eV per atom
Total moment   1.406 Bohr magnetons per cell
Volume   14.886 Å³/atom
Density   11.89 g/cm3

abc: 3.235 3.235 13.140
angles: 90.00 90.00 120.00
Positions (direct):
Hf 0.000 0.000 0.148
Hf 0.000 0.000 0.852
Hf 0.667 0.333 0.351
Hf 0.667 0.333 0.649
Fe 0.000 0.000 0.500
Ni 0.667 0.333 0.000
C 0.333 0.667 0.247
C 0.333 0.667 0.753

=====

(3)
An optimized crystal structure of Hf4FePC2, computed with GGA-PBE.

Calculated values
VASP energy   -9.71 eV per atom
Total moment   1.134 Bohr magnetons per cell
Volume   15.088 Å³/atom
Density   11.35 g/cm3

abc: 3.315 3.315 12.685
angles: 90.00 90.00 120.00
Positions (direct):
Hf 0.000 0.000 0.143
Hf 0.000 0.000 0.857
Hf 0.333 0.667 0.348
Hf 0.333 0.667 0.652
Fe 0.000 0.000 0.500
P 0.333 0.667 0.000
C 0.667 0.333 0.240
C 0.667 0.333 0.760

=====

(4)
An optimized crystal structure of Hf4FePbC2, computed with GGA-PBE.

Calculated values
VASP energy   -9.27 eV per atom
Total moment   1.396 Bohr magnetons per cell
Volume   16.552 Å³/atom
Density   12.55 g/cm3

abc: 3.304 3.304 14.003
angles: 90.00 90.00 120.00
Positions (direct):
Hf 0.000 0.000 0.137
Hf 0.000 0.000 0.863
Hf 0.333 0.667 0.320
Hf 0.333 0.667 0.680
Fe 0.333 0.667 0.000
Pb 0.000 0.000 0.500
C 0.667 0.333 0.236
C 0.667 0.333 0.764

=====

(5)
An optimized crystal structure of Hf4FeC2S, computed with GGA-PBE.

Calculated values
VASP energy   -9.67 eV per atom
Total moment   1.744 Bohr magnetons per cell
Volume   15.006 Å³/atom
Density   11.42 g/cm3

abc: 3.316 3.316 12.609
angles: 90.00 90.00 120.00
Positions (direct):
Hf 0.000 0.000 0.145
Hf 0.000 0.000 0.855
Hf 0.667 0.333 0.347
Hf 0.667 0.333 0.653
Fe 0.000 0.000 0.500
C 0.333 0.667 0.240
C 0.333 0.667 0.760
S 0.667 0.333 0.000

=====

(6)
An optimized crystal structure of Hf4FeC2S, computed with GGA-PBE.

Calculated values
VASP energy   -9.67 eV per atom
Total moment   1.748 Bohr magnetons per cell
Volume   15.021 Å³/atom
Density   11.41 g/cm3

abc: 3.317 3.317 12.612
angles: 90.00 90.00 120.00
Positions (direct):
Hf 0.000 0.000 0.145
Hf 0.000 0.000 0.855
Hf 0.333 0.667 0.347
Hf 0.333 0.667 0.653
Fe 0.000 0.000 0.500
C 0.667 0.333 0.239
C 0.667 0.333 0.761
S 0.333 0.667 0.000

=====

(7)
An optimized crystal structure of Hf4FeSbC2, computed with GGA-PBE.

Calculated values
VASP energy   -9.38 eV per atom
Total moment   1.466 Bohr magnetons per cell
Volume   16.192 Å³/atom
Density   11.74 g/cm3

abc: 3.308 3.308 13.666
angles: 90.00 90.00 120.00
Positions (direct):
Hf 0.000 0.000 0.140
Hf 0.000 0.000 0.860
Hf 0.333 0.667 0.328
Hf 0.333 0.667 0.672
Fe 0.333 0.667 0.000
Sb 0.000 0.000 0.500
C 0.667 0.333 0.241
C 0.667 0.333 0.759

=====

(8)
An optimized crystal structure of Hf4FeSnC2, computed with GGA-PBE.

Calculated values
VASP energy   -9.38 eV per atom
Total moment   1.304 Bohr magnetons per cell
Volume   16.223 Å³/atom
Density   11.68 g/cm3

abc: 3.282 3.282 13.909
angles: 90.00 90.00 120.00
Positions (direct):
Hf 0.000 0.000 0.139
Hf 0.000 0.000 0.861
Hf 0.333 0.667 0.324
Hf 0.333 0.667 0.676
Fe 0.333 0.667 0.000
Sn 0.000 0.000 0.500
C 0.667 0.333 0.238
C 0.667 0.333 0.762

=====

(9)
An optimized crystal structure of Hf2Ta4Fe3C3, computed with GGA-PBE.

Calculated values
VASP energy   -10.42 eV per atom
Total moment   8.783 Bohr magnetons per cell
Volume   13.910 Å³/atom
Density   12.78 g/cm3

abc: 5.375 5.375 13.725
angles: 101.60 101.60 59.93
Positions (direct):
Hf 0.040 0.875 0.615
Hf 0.125 0.960 0.885
Hf 0.875 0.040 0.115
Hf 0.960 0.125 0.385
Ta 0.196 0.361 0.090
Ta 0.299 0.475 0.410
Ta 0.361 0.196 0.590
Ta 0.475 0.299 0.910
Ta 0.525 0.701 0.090
Ta 0.639 0.804 0.410
Ta 0.701 0.525 0.590
Ta 0.804 0.639 0.910
Fe 0.085 0.402 0.750
Fe 0.402 0.085 0.250
Fe 0.426 0.574 0.250
Fe 0.574 0.426 0.750
Fe 0.598 0.915 0.750
Fe 0.915 0.598 0.250
C 0.000 0.500 0.500
C 0.164 0.673 0.000
C 0.327 0.836 0.500
C 0.500 0.000 0.000
C 0.673 0.164 0.500
C 0.836 0.327 0.000

=====

(10)
An optimized crystal structure of Hf4Ta2Fe3C3, computed with GGA-PBE.

Calculated values
VASP energy   -9.93 eV per atom
Total moment   8.498 Bohr magnetons per cell
Volume   14.740 Å³/atom
Density   12.01 g/cm3

abc: 5.442 5.442 14.148
angles: 101.25 101.25 60.05
Positions (direct):
Hf 0.033 0.197 0.093
Hf 0.133 0.302 0.407
Hf 0.197 0.033 0.593
Hf 0.302 0.133 0.907
Hf 0.698 0.867 0.093
Hf 0.803 0.967 0.407
Hf 0.867 0.698 0.593
Hf 0.967 0.803 0.907
Ta 0.365 0.533 0.096
Ta 0.467 0.635 0.404
Ta 0.533 0.365 0.596
Ta 0.635 0.467 0.904
Fe 0.069 0.931 0.750
Fe 0.105 0.417 0.751
Fe 0.417 0.105 0.251
Fe 0.583 0.895 0.749
Fe 0.895 0.583 0.249
Fe 0.931 0.069 0.250
C 0.000 0.500 0.000
C 0.184 0.658 0.500
C 0.342 0.816 0.000
C 0.500 0.000 0.500
C 0.658 0.184 0.000
C 0.816 0.342 0.500

=====

(11)
An optimized crystal structure of Hf2Fe3W4C3, computed with GGA-PBE.

Calculated values
VASP energy   -10.56 eV per atom
Total moment   10.882 Bohr magnetons per cell
Volume   13.218 Å³/atom
Density   13.57 g/cm3

abc: 5.275 5.275 13.539
angles: 101.40 101.40 59.89
Positions (direct):
Hf 0.041 0.875 0.619
Hf 0.125 0.959 0.881
Hf 0.875 0.041 0.119
Hf 0.959 0.125 0.381
Fe 0.085 0.408 0.751
Fe 0.408 0.085 0.251
Fe 0.421 0.579 0.250
Fe 0.579 0.421 0.750
Fe 0.592 0.915 0.749
Fe 0.915 0.592 0.249
W 0.194 0.357 0.087
W 0.298 0.479 0.413
W 0.357 0.194 0.587
W 0.479 0.298 0.913
W 0.521 0.702 0.087
W 0.643 0.806 0.413
W 0.702 0.521 0.587
W 0.806 0.643 0.913
C 0.000 0.500 0.500
C 0.162 0.677 0.000
C 0.323 0.838 0.500
C 0.500 0.000 0.000
C 0.677 0.162 0.500
C 0.838 0.323 0.000

=====

(12)
An optimized crystal structure of Y2Hf4Fe3C3, computed with GGA-PBE.

Calculated values
VASP energy   -9.12 eV per atom
Total moment   5.883 Bohr magnetons per cell
Volume   16.008 Å³/atom
Density   9.47 g/cm3

abc: 5.687 5.687 14.165
angles: 102.60 102.60 60.06
Positions (direct):
Y 0.044 0.877 0.622
Y 0.123 0.956 0.878
Y 0.877 0.044 0.122
Y 0.956 0.123 0.378
Hf 0.198 0.359 0.090
Hf 0.295 0.476 0.410
Hf 0.359 0.198 0.590
Hf 0.476 0.295 0.910
Hf 0.524 0.705 0.090
Hf 0.641 0.802 0.410
Hf 0.705 0.524 0.590
Hf 0.802 0.641 0.910
Fe 0.086 0.407 0.750
Fe 0.407 0.086 0.250
Fe 0.418 0.582 0.250
Fe 0.582 0.418 0.750
Fe 0.593 0.914 0.750
Fe 0.914 0.593 0.250
C 0.000 0.500 0.500
C 0.174 0.651 0.000
C 0.349 0.826 0.500
C 0.500 0.000 0.000
C 0.651 0.174 0.500
C 0.826 0.349 0.000